Run P
A plane-wave DFT calculation with PBE was carried out for a relaxed KSb2TeAu crystal.

Fermi-level density of states	1.0453	states/eV per atom

abc: 5.867 5.867 5.828
angles: 90.00 90.00 90.00
Fractional positions:
1 Sb 0.000 0.500 0.000
2 Sb 0.500 0.000 0.000
3 K 0.000 0.000 0.000
4 Te 0.000 0.000 0.500
5 Au 0.500 0.500 0.500

---

Run Q
A plane-wave DFT calculation with PBE was carried out for a relaxed KSb2TeAu crystal.

Fermi-level density of states	0.8683	states/eV per atom

abc: 5.464 5.464 5.805
angles: 90.00 90.00 90.00
Fractional positions:
1 Sb 0.000 0.500 0.000
2 Sb 0.500 0.000 0.000
3 K 0.500 0.500 0.500
4 Te 0.000 0.000 0.500
5 Au 0.000 0.000 0.000

---

Short version: run P is the least stable of them.

---

Run P
A plane-wave DFT calculation with PBE was carried out for a relaxed KScAu crystal.

Fermi-level density of states	1.3323	states/eV per atom

abc: 5.037 5.037 5.037
angles: 60.00 60.00 60.00
Fractional positions:
1 Au 0.750 0.750 0.750
2 K 0.000 0.000 0.000
3 Sc 0.500 0.500 0.500

---

Run Q
A plane-wave DFT calculation with PBE was carried out for a relaxed KScAu crystal.

Fermi-level density of states	1.3453	states/eV per atom

abc: 3.923 3.923 7.519
angles: 90.00 90.00 120.00
Fractional positions:
1 Au 0.000 0.000 0.949
2 K 0.667 0.333 0.289
3 Sc 0.333 0.667 0.762

---

Run R
A plane-wave DFT calculation with PBE was carried out for a relaxed KScAu crystal.

Fermi-level density of states	1.1331	states/eV per atom

abc: 7.466 7.466 3.595
angles: 76.07 76.07 27.86
Fractional positions:
1 Au 0.967 0.967 0.033
2 K 0.647 0.647 0.353
3 Sc 0.386 0.386 0.614

---

Run S
A plane-wave DFT calculation with PBE was carried out for a relaxed KScAu crystal.

Fermi-level density of states	1.1772	states/eV per atom

abc: 4.642 4.642 5.583
angles: 90.00 90.00 120.00
Fractional positions:
1 Au 0.000 0.000 0.833
2 K 0.667 0.333 0.333
3 Sc 0.333 0.667 0.833

---

Short version: run P is the least stable of them.

---

Run P
A plane-wave DFT calculation with PBE was carried out for a relaxed KScAu2 crystal.

Fermi-level density of states	0.9790	states/eV per atom

abc: 4.004 4.004 8.424
angles: 76.89 76.89 58.88
Fractional positions:
1 Au 0.020 0.020 0.939
2 Au 0.480 0.480 0.561
3 K 0.250 0.250 0.250
4 Sc 0.750 0.750 0.750

---

Run Q
A plane-wave DFT calculation with PBE was carried out for a relaxed KScAu2 crystal.

Fermi-level density of states	1.2359	states/eV per atom

abc: 4.968 4.968 4.968
angles: 60.00 60.00 60.00
Fractional positions:
1 Au 0.000 0.000 0.000
2 Au 0.250 0.250 0.250
3 K 0.500 0.500 0.500
4 Sc 0.750 0.750 0.750

---

Run R
A plane-wave DFT calculation with PBE was carried out for a relaxed KScAu2 crystal.

Fermi-level density of states	0.8171	states/eV per atom

abc: 5.779 5.779 5.779
angles: 136.30 136.30 63.52
Fractional positions:
1 Au 0.000 0.000 0.000
2 Au 0.250 0.750 0.500
3 K 0.500 0.500 0.000
4 Sc 0.750 0.250 0.500

---

Short version: run Q is the least stable of them.

---

Run P
A plane-wave DFT calculation with PBE was carried out for a relaxed KScAu2 crystal.

Fermi-level density of states	0.4038	states/eV per atom

abc: 3.614 3.614 8.310
angles: 90.00 90.00 90.00
Fractional positions:
1 Au 0.000 0.000 0.001
2 Au 0.500 0.500 0.186
3 K 0.000 0.000 0.455
4 Sc 0.500 0.500 0.858

---

Run Q
A plane-wave DFT calculation with PBE was carried out for a relaxed KScAu2 crystal.

Fermi-level density of states	0.9308	states/eV per atom

abc: 7.956 7.956 6.681
angles: 53.46 53.46 90.00
Fractional positions:
1 Sc 0.000 0.000 0.000
2 Sc 0.750 0.250 0.500
3 K 0.500 0.500 0.000
4 K 0.250 0.750 0.500
5 Au 0.681 0.125 0.250
6 Au 0.069 0.625 0.250
7 Au 0.375 0.319 0.750
8 Au 0.875 0.931 0.750

---

Short version: run Q is the least stable of them.

---

Run P
A plane-wave DFT calculation with PBE was carried out for a relaxed K3ScAu crystal.

Fermi-level density of states	6.3233	states/eV per atom

abc: 6.948 6.948 6.948
angles: 90.00 90.00 90.00
Fractional positions:
1 Sc 0.000 0.000 0.000
2 K 0.000 0.500 0.000
3 K 0.000 0.000 0.500
4 K 0.500 0.000 0.000
5 Au 0.500 0.500 0.500

---

Run Q
A plane-wave DFT calculation with PBE was carried out for a relaxed K3ScAu crystal.

Fermi-level density of states	1.5373	states/eV per atom

abc: 6.346 6.346 6.346
angles: 90.00 90.00 90.00
Fractional positions:
1 Sc 0.500 0.500 0.500
2 K 0.000 0.500 0.000
3 K 0.000 0.000 0.500
4 K 0.500 0.000 0.000
5 Au 0.000 0.000 0.000

---

Short version: run P is the least stable of them.

---

Run P
A plane-wave DFT calculation with PBE was carried out for a relaxed KSc2Au2 crystal.

Fermi-level density of states	2.0195	states/eV per atom

abc: 4.735 4.735 6.720
angles: 69.37 69.37 90.00
Fractional positions:
1 Sc 0.750 0.250 0.500
2 Sc 0.250 0.750 0.500
3 K 0.000 0.000 0.000
4 Au 0.379 0.379 0.243
5 Au 0.621 0.621 0.757

---

Run Q
A plane-wave DFT calculation with PBE was carried out for a relaxed KSc2Au2 crystal.

Fermi-level density of states	0.9266	states/eV per atom

abc: 8.413 8.413 3.234
angles: 90.00 90.00 90.00
Fractional positions:
1 Sc 0.364 0.864 0.000
2 Sc 0.864 0.636 0.000
3 Sc 0.636 0.136 0.000
4 Sc 0.136 0.364 0.000
5 K 0.000 0.000 0.000
6 K 0.500 0.500 0.000
7 Au 0.153 0.653 0.500
8 Au 0.653 0.847 0.500
9 Au 0.847 0.347 0.500
10 Au 0.347 0.153 0.500

---

Short version: run P is the least stable of them.